## ZrMo (PBE-GGA)

Data for an optimized crystal structure of ZrMo.

POSCAR file:
```
ZrMo
1.0
4.609 0.000 0.000
-2.305 3.992 0.000
0.000 0.000 4.824
Zr Mo
2 2
direct
0.333 0.667 0.250
0.667 0.333 0.750
0.000 0.000 0.000
0.000 0.000 0.500
```

Space group   No. 194
ΔE_f   577 meV per atom
Distance to the lowest polymorph of the same formula   0.6187 eV per atom
E_tot   -9.11 eV/atom

---

## CaSm12Dy5 (PBE-GGA)

Data for an optimized crystal structure of CaSm12Dy5.

POSCAR file:
```
CaSm12Dy5
1.0
7.657 -7.679 0.000
7.657 7.679 0.000
0.000 0.000 5.117
Ca Sm Dy
1 12 5
direct
0.000 0.000 0.000
0.001 0.663 0.000
0.168 0.501 0.500
0.171 0.171 0.500
0.334 0.334 0.000
0.337 0.999 0.000
0.499 0.832 0.500
0.501 0.168 0.500
0.663 0.001 0.000
0.666 0.666 0.000
0.829 0.829 0.500
0.832 0.499 0.500
0.999 0.337 0.000
0.172 0.828 0.500
0.334 0.666 0.000
0.500 0.500 0.500
0.666 0.334 0.000
0.828 0.172 0.500
```

Space group   No. 65
ΔE_f   33 meV per atom
E_tot   -4.50 eV/atom

---

## LaH3Pt (PBE-GGA)

Data for an optimized crystal structure of LaH3Pt.

POSCAR file:
```
LaH3Pt
1.0
-2.025 2.025 8.025
2.025 -2.025 8.025
2.025 2.025 -8.025
La H Pt
2 6 2
direct
0.111 0.111 0.000
0.889 0.889 0.000
0.006 0.506 0.500
0.101 0.334 0.768
0.494 0.994 0.500
0.566 0.334 0.232
0.666 0.434 0.768
0.666 0.899 0.232
0.500 0.500 0.000
0.750 0.250 0.500
```

Space group   No. 119
E_tot   -4.55 eV/atom

---

## MgNpGaGe (PBE-GGA)

Data for an optimized crystal structure of MgNpGaGe.

POSCAR file:
```
MgNpGaGe
1.0
0.000 3.435 3.435
3.435 0.000 3.435
3.435 3.435 0.000
Mg Np Ga Ge
1 1 1 1
direct
0.000 0.000 0.000
0.500 0.500 0.500
0.750 0.750 0.750
0.250 0.250 0.250
```

Space group   No. 216
ΔE_f   -104 meV per atom
E_tot   -5.65 eV/atom

---

## YBi3Cl (PBE-GGA)

Data for an optimized crystal structure of YBi3Cl.

POSCAR file:
```
YBi3Cl
1.0
5.875 0.000 0.000
0.000 5.875 0.000
0.000 0.000 5.875
Y Bi Cl
1 3 1
direct
0.000 0.000 0.000
0.000 0.000 0.500
0.000 0.500 0.000
0.500 0.000 0.000
0.500 0.500 0.500
```

Space group   No. 221
Distance to the lowest polymorph of the same formula   0.0321 eV per atom
E_tot   -3.81 eV/atom
Formation energy (no corrections)   182 meV/atom

---

## InSe2IN (PBE-GGA)

Data for an optimized crystal structure of InSe2IN.

POSCAR file:
```
InSe2IN
1.0
5.510 0.000 0.000
0.000 5.510 0.000
0.000 0.000 4.202
In Se I N
1 2 1 1
direct
0.000 0.000 0.000
0.000 0.500 0.000
0.500 0.000 0.000
0.500 0.500 0.500
0.000 0.000 0.500
```

Space group   No. 123
Distance to the lowest polymorph of the same formula   0.0000 eV per atom
E_tot   -3.01 eV/atom
Formation energy (no corrections)   908 meV/atom

---

## ZrIrI2N (PBE-GGA)

Data for an optimized crystal structure of ZrIrI2N.

POSCAR file:
```
ZrIrI2N
1.0
5.830 0.000 0.000
0.000 5.830 0.000
0.000 0.000 3.930
Zr Ir I N
1 1 2 1
direct
0.000 0.000 0.000
0.500 0.500 0.500
0.000 0.500 0.000
0.500 0.000 0.000
0.000 0.000 0.500
```

Space group   No. 123
Distance to the lowest polymorph of the same formula   0.3136 eV per atom
E_tot   -4.96 eV/atom
Formation energy (no corrections)   808 meV/atom

---

## Tm6ZnIn (PBE-GGA)

Data for an optimized crystal structure of Tm6ZnIn.

POSCAR file:
```
Tm6ZnIn
1.0
-2.475 2.475 8.925
2.475 -2.475 8.925
2.475 2.475 -8.925
Tm Zn In
6 1 1
direct
0.111 0.611 0.500
0.249 0.249 0.000
0.389 0.889 0.500
0.611 0.111 0.500
0.751 0.751 0.000
0.889 0.389 0.500
0.000 0.000 0.000
0.500 0.500 0.000
```

Space group   No. 139
ΔE_f   -181 meV per atom
E_tot   -4.04 eV/atom

---

## NdSmSiCl (PBE-GGA)

Data for an optimized crystal structure of NdSmSiCl.

POSCAR file:
```
NdSmSiCl
1.0
5.793 0.000 0.000
0.000 2.462 4.333
0.000 -2.462 4.333
Nd Sm Si Cl
1 1 1 1
direct
0.000 0.000 0.000
0.500 0.669 0.669
0.500 0.000 0.000
0.000 0.669 0.669
```

Space group   No. 38
E_tot   -5.08 eV/atom
Formation energy (no corrections)   -887 meV/atom

---

## KRe2Si (PBE-GGA)

Data for an optimized crystal structure of KRe2Si.

POSCAR file:
```
KRe2Si
1.0
2.643 0.000 0.000
0.000 4.674 0.000
-0.177 0.000 6.787
K Re Si
1 2 1
direct
0.000 0.000 0.000
0.385 0.500 0.334
0.615 0.500 0.666
0.500 0.000 0.500
```

Space group   No. 10
E_tot   -6.86 eV/atom
Formation energy (no corrections)   995 meV/atom

---

## PuMg2Al (PBE-GGA)

Data for an optimized crystal structure of PuMg2Al.

POSCAR file:
```
PuMg2Al
1.0
4.395 0.000 0.000
0.000 4.395 0.000
0.000 0.000 4.826
Pu Mg Al
1 2 1
direct
0.000 0.000 0.000
0.000 0.500 0.500
0.500 0.000 0.500
0.500 0.500 0.000
```

Space group   No. 123
ΔE_f   63 meV per atom
Distance to the lowest polymorph of the same formula   0.0117 eV per atom
E_tot   -5.25 eV/atom

---

## Ac5MgTl3 (PBE-GGA)

Data for an optimized crystal structure of Ac5MgTl3.

POSCAR file:
```
Ac5MgTl3
1.0
8.819 -5.096 0.000
8.819 5.096 0.000
0.000 0.000 7.343
Ac Mg Tl
10 2 6
direct
0.166 0.166 0.000
0.166 0.166 0.500
0.206 0.500 0.250
0.207 0.793 0.750
0.500 0.206 0.750
0.500 0.794 0.250
0.793 0.207 0.250
0.794 0.500 0.750
0.834 0.834 0.000
0.834 0.834 0.500
0.500 0.500 0.000
0.500 0.500 0.500
0.134 0.500 0.750
0.134 0.866 0.250
0.500 0.134 0.250
0.500 0.866 0.750
0.866 0.134 0.750
0.866 0.500 0.250
```

Space group   No. 63
ΔE_f   -235 meV per atom
E_tot   -3.48 eV/atom

---

## ReAs2Ru (PBE-GGA)

Data for an optimized crystal structure of ReAs2Ru.

POSCAR file:
```
ReAs2Ru
1.0
4.267 -1.574 0.000
4.267 1.574 0.000
-1.278 0.000 4.723
Re As Ru
1 2 1
direct
0.000 0.000 0.000
0.485 0.485 0.412
0.718 0.718 0.994
0.229 0.229 0.591
```

Space group   No. 8
ΔE_f   83 meV per atom
Distance to the lowest polymorph of the same formula   0.0589 eV per atom
E_tot   -7.67 eV/atom

---

## CdCuReSb2 (PBE-GGA)

Data for an optimized crystal structure of CdCuReSb2.

POSCAR file:
```
CdCuReSb2
1.0
5.123 0.000 0.000
0.000 5.123 0.000
0.000 0.000 4.959
Cd Cu Re Sb
1 1 1 2
direct
0.000 0.000 0.000
0.500 0.500 0.000
0.500 0.500 0.500
0.000 0.500 0.500
0.500 0.000 0.500
```

Space group   No. 123
E_tot   -4.47 eV/atom
Formation energy (no corrections)   670 meV/atom

---

## Zr7N5 (PBE-GGA)

Data for an optimized crystal structure of Zr7N5.

POSCAR file:
```
Zr7N5
1.0
5.380 -1.607 0.000
5.380 1.607 0.000
-3.030 0.000 10.287
Zr N
7 5
direct
0.000 0.000 0.000
0.155 0.155 0.564
0.227 0.227 0.872
0.460 0.460 0.712
0.540 0.540 0.288
0.773 0.773 0.128
0.845 0.845 0.436
0.188 0.188 0.367
0.386 0.386 0.076
0.500 0.500 0.500
0.614 0.614 0.924
0.812 0.812 0.633
```

Space group   No. 12
E_tot   -9.72 eV/atom
Formation energy (no corrections)   -1262 meV/atom

---

## ZnInCo2 (PBE-GGA)

Data for an optimized crystal structure of ZnInCo2.

POSCAR file:
```
ZnInCo2
1.0
0.000 3.043 3.043
3.043 0.000 3.043
3.043 3.043 0.000
Zn In Co
1 1 2
direct
0.000 0.000 0.000
0.750 0.750 0.750
0.250 0.250 0.250
0.500 0.500 0.500
```

Space group   No. 216
ΔE_f   230 meV per atom
E_tot   -4.33 eV/atom

---

## AlCuAs2 (PBE-GGA)

Data for an optimized crystal structure of AlCuAs2.

POSCAR file:
```
AlCuAs2
1.0
3.203 -1.838 0.000
3.203 1.838 0.000
-2.077 0.000 5.930
Al Cu As
1 1 2
direct
0.000 0.000 0.000
0.500 0.500 0.500
0.246 0.246 0.736
0.754 0.754 0.264
```

Space group   No. 12
ΔE_f   5 meV per atom
E_tot   -4.28 eV/atom

---

## NaCaEu (PBE-GGA)

Data for an optimized crystal structure of NaCaEu.

POSCAR file:
```
NaCaEu
1.0
-1.941 1.941 8.191
1.941 -1.941 8.191
1.941 1.941 -8.191
Na Ca Eu
1 1 1
direct
0.000 0.000 0.000
0.659 0.659 0.000
0.333 0.333 0.000
```

Space group   No. 107
ΔE_f   63 meV per atom
E_tot   -4.47 eV/atom

---

## Y4Sb (PBE-GGA)

Data for an optimized crystal structure of Y4Sb.

POSCAR file:
```
Y4Sb
1.0
5.732 0.000 0.000
0.000 5.732 0.000
0.000 0.000 5.732
Y Sb
4 1
direct
0.000 0.000 0.000
0.000 0.500 0.500
0.500 0.000 0.500
0.500 0.500 0.000
0.500 0.500 0.500
```

Space group   No. 221
Distance to the lowest polymorph of the same formula   0.0000 eV per atom
E_tot   -5.97 eV/atom
Formation energy (no corrections)   28 meV/atom

---

## KCa2Ir (PBE-GGA)

Data for an optimized crystal structure of KCa2Ir.

POSCAR file:
```
KCa2Ir
1.0
0.000 3.793 3.793
3.793 0.000 3.793
3.793 3.793 0.000
K Ca Ir
1 2 1
direct
0.000 0.000 0.000
0.250 0.250 0.250
0.500 0.500 0.500
0.750 0.750 0.750
```

Space group   No. 216
ΔE_f   394 meV per atom
Distance to the lowest polymorph of the same formula   0.4855 eV per atom
E_tot   -3.10 eV/atom

---

## HgAsBr (PBE-GGA)

Data for an optimized crystal structure of HgAsBr.

POSCAR file:
```
HgAsBr
1.0
3.762 0.000 0.000
-1.789 6.920 0.000
-0.009 -2.800 7.553
Hg As Br
2 2 2
direct
0.160 0.309 0.138
0.840 0.691 0.862
0.187 0.369 0.470
0.813 0.631 0.530
0.387 0.787 0.135
0.613 0.213 0.865
```

Space group   No. 2
Distance to the lowest polymorph of the same formula   0.0055 eV per atom
E_tot   -2.43 eV/atom
Formation energy (no corrections)   -226 meV/atom

---

## Mg2TeP (PBE-GGA)

Data for an optimized crystal structure of Mg2TeP.

POSCAR file:
```
Mg2TeP
1.0
3.379 0.000 0.000
0.000 4.066 0.000
0.000 0.000 7.208
Mg Te P
2 1 1
direct
0.000 0.000 0.000
0.500 0.500 0.413
0.500 0.500 0.824
0.000 0.000 0.345
```

Space group   No. 25
Distance to the lowest polymorph of the same formula   0.0429 eV per atom
E_tot   -3.41 eV/atom
Formation energy (no corrections)   -479 meV/atom

---

## Cs3Zn2H8 (PBE-GGA)

Data for an optimized crystal structure of Cs3Zn2H8.

POSCAR file:
```
Cs3Zn2H8
1.0
3.135 1.810 7.400
-3.135 1.810 7.400
0.000 -3.620 7.400
Cs Zn H
3 2 8
direct
0.000 0.000 0.000
0.214 0.214 0.214
0.786 0.786 0.786
0.430 0.430 0.430
0.570 0.570 0.570
0.259 0.709 0.709
0.291 0.291 0.741
0.291 0.741 0.291
0.354 0.354 0.354
0.646 0.646 0.646
0.709 0.259 0.709
0.709 0.709 0.259
0.741 0.291 0.291
```

Space group   No. 166
E_tot   -2.50 eV/atom

---

## LiCuSb2 (PBE-GGA)

Data for an optimized crystal structure of LiCuSb2.

POSCAR file:
```
LiCuSb2
1.0
0.000 3.443 3.443
3.443 0.000 3.443
3.443 3.443 0.000
Li Cu Sb
1 1 2
direct
0.000 0.000 0.000
0.500 0.500 0.500
0.250 0.250 0.250
0.750 0.750 0.750
```

Space group   No. 225
Distance to the lowest polymorph of the same formula   0.1055 eV per atom
E_tot   -3.57 eV/atom
Formation energy (no corrections)   -7 meV/atom

---

## ZrVHg (PBE-GGA)

Data for an optimized crystal structure of ZrVHg.

POSCAR file:
```
ZrVHg
1.0
2.343 1.353 6.773
-2.343 1.353 6.773
0.000 -2.706 6.773
Zr V Hg
2 2 2
direct
0.076 0.076 0.076
0.924 0.924 0.924
0.193 0.193 0.193
0.807 0.807 0.807
0.361 0.361 0.361
0.639 0.639 0.639
```

Space group   No. 166
ΔE_f   633 meV per atom
E_tot   -5.36 eV/atom

---

## La2Tb6Dy (PBE-GGA)

Data for an optimized crystal structure of La2Tb6Dy.

POSCAR file:
```
La2Tb6Dy
1.0
6.456 -7.227 0.000
6.456 7.227 0.000
-1.579 0.000 6.442
La Tb Dy
4 12 2
direct
0.116 0.171 0.379
0.171 0.116 0.879
0.829 0.884 0.121
0.884 0.829 0.621
0.039 0.443 0.731
0.155 0.774 0.996
0.226 0.845 0.504
0.278 0.460 0.186
0.443 0.039 0.231
0.460 0.278 0.686
0.540 0.722 0.314
0.557 0.961 0.769
0.722 0.540 0.814
0.774 0.155 0.496
0.845 0.226 0.004
0.961 0.557 0.269
0.384 0.616 0.750
0.616 0.384 0.250
```

Space group   No. 15
ΔE_f   115 meV per atom
Distance to the lowest polymorph of the same formula   0.0096 eV per atom
E_tot   -4.58 eV/atom

---

Ordered spin magnetization results: 0.0, 0.0, 0.0, 3.7, 0.0, 2.0, 1.8, 0.0, 0.0, 0.0, 6.0, 0.0, 0.0, 0.0, 0.0, 2.7, 0.0, 7.4, 2.3, 0.0, 0.0, 0.0, 0.9, 0.0, 0.0, 0.0; unit μB per formula unit.
Ordered calculated volume results: 88.7, 601.8, 131.6, 81.1, 202.8, 127.6, 133.6, 218.7, 123.6, 83.9, 93.2, 660.0, 63.4, 130.2, 177.8, 56.4, 69.8, 123.4, 188.4, 109.2, 196.6, 99.0, 252.0, 81.6, 128.8, 601.1; unit Å³/cell.